The following is a GGA-PBE calculation of a geometry-optimized NaZrReTe structure, from OQMD.

a b c (Å): 4.822 4.822 4.822
angles (deg): 60.00 60.00 60.00
Fractional coordinates of all 4 atoms:
Na 0.000 0.000 0.000
Zr 0.500 0.500 0.500
Re 0.750 0.750 0.750
Te 0.250 0.250 0.250

* ρ: 8966 kg/m3
* energy above the lowest structure with this stoichiometry: 235 meV/atom